Entry 1:
Ca2TaB after structural relaxation, computed with PBE-GGA.

CIF file:
```
data_Ca2TaB
_chemical_formula_sum 'Ca8 Ta4 B4'
_space_group_name_H-M_alt 'I -4 2 d'
_space_group_IT_number 122
_space_group_name_Hall 'I -4 2bw'
_cell_length_a 10.085
_cell_length_b 10.085
_cell_length_c 4.332
_cell_angle_alpha 90.00
_cell_angle_beta 90.00
_cell_angle_gamma 90.00
loop_
_atom_site_label
_atom_site_type_symbol
_atom_site_fract_x
_atom_site_fract_y
_atom_site_fract_z
Ca1 Ca 0.091 0.250 0.125
Ta1 Ta 0.000 0.000 0.500
B1 B 0.000 0.000 0.000
```

Values from the calculation:
The value obtained for the total energy is -4.900 eV/atom.

Entry 2:
CaTa3B after structural relaxation, computed with PBE-GGA.

CIF file:
```
data_CaTa3B
_chemical_formula_sum 'Ca1 Ta3 B1'
_space_group_name_H-M_alt 'P m -3 m'
_space_group_IT_number 221
_space_group_name_Hall '-P 4 2 3'
_cell_length_a 4.647
_cell_length_b 4.647
_cell_length_c 4.647
_cell_angle_alpha 90.00
_cell_angle_beta 90.00
_cell_angle_gamma 90.00
loop_
_atom_site_label
_atom_site_type_symbol
_atom_site_fract_x
_atom_site_fract_y
_atom_site_fract_z
Ca1 Ca 0.000 0.000 0.000
Ta1 Ta 0.000 0.000 0.500
B1 B 0.500 0.500 0.500
```

Values from the calculation:
The value obtained for the total energy is -5.468 eV/atom. For the relative energy among the computed polymorphs, the calculation gives 2993 meV per atom.

Entry 3:
CaTaB2Te after structural relaxation, computed with PBE-GGA.

CIF file:
```
data_CaTaB2Te
_chemical_formula_sum 'Ca1 Ta1 B2 Te1'
_space_group_name_H-M_alt 'P 4/m m m'
_space_group_IT_number 123
_space_group_name_Hall '-P 4 2'
_cell_length_a 4.561
_cell_length_b 4.561
_cell_length_c 5.503
_cell_angle_alpha 90.00
_cell_angle_beta 90.00
_cell_angle_gamma 90.00
loop_
_atom_site_label
_atom_site_type_symbol
_atom_site_fract_x
_atom_site_fract_y
_atom_site_fract_z
Ca1 Ca 0.000 0.000 0.000
Ta1 Ta 0.500 0.500 0.000
B1 B 0.000 0.500 0.500
Te1 Te 0.000 0.000 0.500
```

Values from the calculation:
As for the uncorrected formation energy: 10.97 eV per formula unit. The value obtained for the total energy is -3.876 eV/atom.

Entry 4:
Ca2ZrTaB after structural relaxation, computed with PBE-GGA.

CIF file:
```
data_Ca2ZrTaB
_chemical_formula_sum 'Ca2 Zr1 Ta1 B1'
_space_group_name_H-M_alt 'P 4/m m m'
_space_group_IT_number 123
_space_group_name_Hall '-P 4 2'
_cell_length_a 5.833
_cell_length_b 5.833
_cell_length_c 4.888
_cell_angle_alpha 90.00
_cell_angle_beta 90.00
_cell_angle_gamma 90.00
loop_
_atom_site_label
_atom_site_type_symbol
_atom_site_fract_x
_atom_site_fract_y
_atom_site_fract_z
Ca1 Ca 0.000 0.500 0.000
Zr1 Zr 0.000 0.000 0.000
Ta1 Ta 0.000 0.000 0.500
B1 B 0.500 0.500 0.500
```

Values from the calculation:
The value obtained for the total energy is -4.157 eV/atom.

Entry 5:
CaTbB12 after structural relaxation, computed with PBE-GGA.

CIF file:
```
data_CaTbB12
_chemical_formula_sum 'Ca1 Tb1 B12'
_space_group_name_H-M_alt 'P 4/m m m'
_space_group_IT_number 123
_space_group_name_Hall '-P 4 2'
_cell_length_a 4.120
_cell_length_b 4.120
_cell_length_c 8.246
_cell_angle_alpha 90.00
_cell_angle_beta 90.00
_cell_angle_gamma 90.00
loop_
_atom_site_label
_atom_site_type_symbol
_atom_site_fract_x
_atom_site_fract_y
_atom_site_fract_z
Ca1 Ca 0.000 0.000 0.000
Tb1 Tb 0.000 0.000 0.500
B1 B 0.200 0.500 0.252
B2 B 0.500 0.500 0.101
B3 B 0.500 0.500 0.401
```

Values from the calculation:
The value obtained for the total energy is -6.619 eV/atom.

Entry 6:
Ca2TcB10 after structural relaxation, computed with PBE-GGA.

CIF file:
```
data_Ca2TcB10
_chemical_formula_sum 'Ca4 Tc2 B20'
_space_group_name_H-M_alt 'P b a m'
_space_group_IT_number 55
_space_group_name_Hall '-P 2 2ab'
_cell_length_a 5.772
_cell_length_b 11.612
_cell_length_c 4.181
_cell_angle_alpha 90.00
_cell_angle_beta 90.00
_cell_angle_gamma 90.00
loop_
_atom_site_label
_atom_site_type_symbol
_atom_site_fract_x
_atom_site_fract_y
_atom_site_fract_z
Ca1 Ca 0.195 0.142 0.000
Tc1 Tc 0.000 0.500 0.500
B1 B 0.058 0.307 0.500
B2 B 0.116 0.955 0.500
B3 B 0.136 0.802 0.500
B4 B 0.221 0.380 0.200
```

Values from the calculation:
The value obtained for the total energy is -6.479 eV/atom.

Entry 7:
Ca2TcB after structural relaxation, computed with PBE-GGA.

CIF file:
```
data_Ca2TcB
_chemical_formula_sum 'Ca8 Tc4 B4'
_space_group_name_H-M_alt 'I -4 2 d'
_space_group_IT_number 122
_space_group_name_Hall 'I -4 2bw'
_cell_length_a 10.136
_cell_length_b 10.136
_cell_length_c 4.035
_cell_angle_alpha 90.00
_cell_angle_beta 90.00
_cell_angle_gamma 90.00
loop_
_atom_site_label
_atom_site_type_symbol
_atom_site_fract_x
_atom_site_fract_y
_atom_site_fract_z
Ca1 Ca 0.073 0.750 0.125
Tc1 Tc 0.000 0.000 0.500
B1 B 0.000 0.000 0.000
```

Values from the calculation:
The value obtained for the total energy is -4.852 eV/atom.

Entry 8:
CaTcB2 after structural relaxation, computed with PBE-GGA.

CIF file:
```
data_CaTcB2
_chemical_formula_sum 'Ca4 Tc4 B8'
_space_group_name_H-M_alt 'I 41/a m d'
_space_group_IT_number 141
_cell_length_a 4.562
_cell_length_b 4.562
_cell_length_c 13.426
_cell_angle_alpha 90.00
_cell_angle_beta 90.00
_cell_angle_gamma 90.00
loop_
_space_group_symop_operation_xyz
'x,y,z'
'-x,-y,-z'
'-y+1/4,x+3/4,z+1/4'
'y+1/4,-x+3/4,-z+1/4'
'-x+1/2,-y,z+1/2'
'x+1/2,y,-z+1/2'
'y+1/4,-x+1/4,z+3/4'
'-y+1/4,x+1/4,-z+3/4'
'x,-y,-z'
'-x,y,z'
'-y+1/4,-x+1/4,-z+3/4'
'y+1/4,x+1/4,z+3/4'
'-x+1/2,y,-z+1/2'
'x+1/2,-y,z+1/2'
'y+1/4,x+3/4,-z+1/4'
'-y+1/4,-x+3/4,z+1/4'
'x+1/2,y+1/2,z+1/2'
'-x+1/2,-y+1/2,-z+1/2'
'-y+3/4,x+1/4,z+3/4'
'y+3/4,-x+1/4,-z+3/4'
'-x,-y+1/2,z'
'x,y+1/2,-z'
'y+3/4,-x+3/4,z+1/4'
'-y+3/4,x+3/4,-z+1/4'
'x+1/2,-y+1/2,-z+1/2'
'-x+1/2,y+1/2,z+1/2'
'-y+3/4,-x+3/4,-z+1/4'
'y+3/4,x+3/4,z+1/4'
'-x,y+1/2,-z'
'x,-y+1/2,z'
'y+3/4,x+1/4,-z+3/4'
'-y+3/4,-x+1/4,z+3/4'
loop_
_atom_site_label
_atom_site_type_symbol
_atom_site_fract_x
_atom_site_fract_y
_atom_site_fract_z
Ca1 Ca 0.000 0.250 0.375
Tc1 Tc 0.000 0.250 0.875
B1 B 0.000 0.000 0.000
```

Values from the calculation:
The value obtained for the total energy is -6.145 eV/atom. For the relative energy among the computed polymorphs, the calculation gives 0 meV per atom.

Entry 9:
CaTcB2 after structural relaxation, computed with PBE-GGA.

CIF file:
```
data_CaTcB2
_chemical_formula_sum 'Ca4 Tc4 B8'
_space_group_name_H-M_alt 'F m -3 m'
_space_group_IT_number 225
_space_group_name_Hall '-F 4 2 3'
_cell_length_a 5.852
_cell_length_b 5.852
_cell_length_c 5.852
_cell_angle_alpha 90.00
_cell_angle_beta 90.00
_cell_angle_gamma 90.00
loop_
_atom_site_label
_atom_site_type_symbol
_atom_site_fract_x
_atom_site_fract_y
_atom_site_fract_z
Ca1 Ca 0.000 0.000 0.000
Tc1 Tc 0.000 0.000 0.500
B1 B 0.250 0.250 0.250
```

Values from the calculation:
The value obtained for the total energy is -5.625 eV/atom. For the relative energy among the computed polymorphs, the calculation gives 520 meV per atom.

Entry 10:
CaTcB4 after structural relaxation, computed with PBE-GGA.

CIF file:
```
data_CaTcB4
_chemical_formula_sum 'Ca4 Tc4 B16'
_space_group_name_H-M_alt 'P b a m'
_space_group_IT_number 55
_space_group_name_Hall '-P 2 2ab'
_cell_length_a 6.016
_cell_length_b 11.653
_cell_length_c 3.551
_cell_angle_alpha 90.00
_cell_angle_beta 90.00
_cell_angle_gamma 90.00
loop_
_atom_site_label
_atom_site_type_symbol
_atom_site_fract_x
_atom_site_fract_y
_atom_site_fract_z
Ca1 Ca 0.126 0.151 0.000
Tc1 Tc 0.128 0.417 0.000
B1 B 0.023 0.693 0.500
B2 B 0.114 0.547 0.500
B3 B 0.135 0.968 0.500
B4 B 0.215 0.815 0.500
```

Values from the calculation:
The value obtained for the total energy is -6.908 eV/atom.

Entry 11:
CaTcB14 after structural relaxation, computed with PBE-GGA.

CIF file:
```
data_CaTcB14
_chemical_formula_sum 'Ca4 Tc4 B56'
_space_group_name_H-M_alt 'I m m a'
_space_group_IT_number 74
_space_group_name_Hall '-I 2b 2'
_cell_length_a 5.884
_cell_length_b 10.709
_cell_length_c 8.290
_cell_angle_alpha 90.00
_cell_angle_beta 90.00
_cell_angle_gamma 90.00
loop_
_atom_site_label
_atom_site_type_symbol
_atom_site_fract_x
_atom_site_fract_y
_atom_site_fract_z
Ca1 Ca 0.000 0.250 0.137
Tc1 Tc 0.250 0.250 0.750
B1 B 0.000 0.085 0.667
B2 B 0.000 0.126 0.873
B3 B 0.000 0.167 0.463
B4 B 0.161 0.061 0.338
B5 B 0.246 0.079 0.547
```

Values from the calculation:
The value obtained for the total energy is -6.724 eV/atom.

Entry 12:
CaTc3B after structural relaxation, computed with PBE-GGA.

CIF file:
```
data_CaTc3B
_chemical_formula_sum 'Ca1 Tc3 B1'
_space_group_name_H-M_alt 'P m -3 m'
_space_group_IT_number 221
_space_group_name_Hall '-P 4 2 3'
_cell_length_a 4.264
_cell_length_b 4.264
_cell_length_c 4.264
_cell_angle_alpha 90.00
_cell_angle_beta 90.00
_cell_angle_gamma 90.00
loop_
_atom_site_label
_atom_site_type_symbol
_atom_site_fract_x
_atom_site_fract_y
_atom_site_fract_z
Ca1 Ca 0.000 0.000 0.000
Tc1 Tc 0.000 0.500 0.500
B1 B 0.500 0.500 0.500
```

Values from the calculation:
The value obtained for the total energy is -7.602 eV/atom. For the relative energy among the computed polymorphs, the calculation gives 0 meV per atom.